A plane-wave DFT calculation with PBE was carried out for a relaxed structure of Sm8CuIr3I4.

abc: 8.3626 9.3693 8.3589
angles: 116.47 120.01 90.00
Fractional positions:
Sm: 0.2322 0.6840 0.9522
Sm: 0.2320 0.6839 0.4641
Sm: 0.2715 0.3149 0.5430
Sm: 0.7200 0.6840 0.9522
Sm: 0.2800 0.3160 0.0478
Sm: 0.7285 0.6851 0.4570
Sm: 0.7680 0.3161 0.5359
Sm: 0.7678 0.3160 0.0478
Cu: 0.0000 0.5000 0.0000
Ir: 0.5000 0.5000 0.0000
Ir: 0.5000 0.5000 0.5000
Ir: 0.0000 0.5000 0.5000
I: 0.5000 0.0000 0.0000
I: 0.5000 0.0000 0.5000
I: 0.0000 0.0000 0.0000
I: 0.0000 0.0000 0.5000

Values from the calculation:
For the total magnetization, the calculation gives 0.0 μB/f.u. The value obtained for the density of states at the Fermi level is 0.53 states/eV/atom. The formation energy (no corrections) comes out at -870 meV/atom.